MgCrSi2O6 | GGA+U | optimized geometry

For the excess energy over the best structure of this formula in the dataset, the calculation gives 0 meV per atom.

It has space group C2/c (No. 15), with a = 9.986 Å, b = 9.044 Å, c = 5.390 Å, α = 90.00°, β = 110.88° and γ = 90.00°. The distinct sites, in fractional coordinates, are Mg at (0.000, 0.097, 0.250), Cr at (0.000, 0.267, 0.750), Si at (0.206, 0.411, 0.226), O at (0.120, 0.087, 0.652), O at (0.125, 0.253, 0.150) and O at (0.146, 0.499, 0.935).